Entry from Alexandria: a geometry-optimized LiPr2AsO6 structure (PBE).

Structure (POSCAR):
```
LiPr2AsO6
1.0
5.486 0.000 -0.025
0.000 5.547 0.000
0.014 0.000 7.761
O Li Pr As
12 2 4 2
direct
0.233 0.201 0.461
0.575 0.016 0.266
0.075 0.484 0.766
0.198 0.231 0.042
0.302 0.731 0.458
0.767 0.799 0.539
0.698 0.269 0.542
0.802 0.769 0.958
0.267 0.701 0.039
0.733 0.299 0.961
0.925 0.516 0.234
0.425 0.984 0.734
0.000 0.500 0.500
0.500 0.000 0.000
0.509 0.542 0.751
0.991 0.042 0.749
0.009 0.958 0.251
0.491 0.458 0.249
0.500 0.000 0.500
0.000 0.500 0.000
```

For the uncorrected formation energy, the calculation gives -2.539 eV per atom. The calculated total energy comes out at -7.13 eV/atom.

---

Entry from Alexandria: a geometry-optimized Ca8Mg2Pb structure (PBE).

Structure (POSCAR):
```
Ca8Mg2Pb
1.0
5.269 0.060 -1.573
-1.038 7.363 -3.189
0.150 -0.051 10.100
Pb Ca Mg
1 8 2
direct
0.137 0.958 0.909
0.746 0.964 0.128
0.926 0.439 0.489
0.137 0.552 0.909
0.527 0.746 0.690
0.980 0.023 0.596
0.293 0.336 0.222
0.346 0.859 0.329
0.637 0.229 0.909
0.794 0.605 0.225
0.478 0.289 0.593
```

For the energy relative to the elements, the calculation gives -0.141 eV/atom. The calculated total energy comes out at -2.22 eV/atom.

---

Entry from Alexandria: a geometry-optimized Tl3Bi2PbSe6 structure (PBE).

Structure (POSCAR):
```
Tl3Bi2PbSe6
1.0
7.505 -0.008 -0.002
-3.757 6.497 -0.002
-1.252 -2.168 7.422
Tl Se Bi Pb
3 6 2 1
direct
0.165 0.835 0.500
0.500 0.500 0.500
0.835 0.165 0.500
0.267 0.267 0.775
0.076 0.418 0.227
0.924 0.582 0.773
0.733 0.733 0.225
0.582 0.924 0.773
0.418 0.076 0.227
0.667 0.333 0.000
0.333 0.667 0.000
0.000 0.000 0.000
```

For the uncorrected formation energy, the calculation gives -0.426 eV per atom. The calculated total energy comes out at -3.72 eV/atom.

---

Entry from Alexandria: a geometry-optimized SrTaNO2 structure (PBE).

Structure (POSCAR):
```
SrTaNO2
1.0
-7.242 -3.031 2.030
-0.431 -2.443 -5.186
2.541 -4.789 1.912
O Sr N Ta
8 4 4 4
direct
0.250 0.267 0.733
0.000 0.050 0.465
0.787 0.764 0.759
0.750 0.267 0.733
0.713 0.241 0.236
0.500 0.535 0.950
0.287 0.241 0.236
0.213 0.764 0.759
0.500 0.485 0.508
0.000 0.492 0.515
0.000 0.000 0.008
0.500 0.992 0.001
0.750 0.743 0.257
0.000 0.462 0.027
0.250 0.743 0.257
0.500 0.974 0.538
0.742 0.987 0.497
0.258 0.987 0.497
0.242 0.504 0.013
0.758 0.504 0.013
```

For the uncorrected formation energy, the calculation gives -2.403 eV per atom. The calculated total energy comes out at -8.76 eV/atom.

---

Entry from Alexandria: a geometry-optimized TcSnIr structure (PBE).

Structure (POSCAR):
```
TcSnIr
1.0
-0.505 6.184 -4.343
-2.893 -0.550 -0.446
-1.699 0.687 10.162
Tc Ir Sn
4 4 4
direct
0.506 0.500 0.853
0.855 0.000 0.371
0.506 0.000 0.353
0.855 0.500 0.871
0.812 0.000 0.070
0.812 0.500 0.570
0.177 0.500 0.565
0.177 0.000 0.065
0.530 0.500 0.130
0.145 0.000 0.791
0.530 0.000 0.630
0.145 0.500 0.291
```

For the energy relative to the elements, the calculation gives 0.062 eV/atom. Its polymorph energy (0 for the lowest one) is 49.3 meV per atom. The calculated total energy comes out at -7.68 eV/atom.

---

Entry from Alexandria: a geometry-optimized LaCePaTc structure (PBE).

Structure (POSCAR):
```
LaCePaTc
1.0
-4.626 1.525 1.410
-2.436 -2.413 3.736
-0.662 2.279 4.481
Pa Tc La Ce
1 1 1 1
direct
0.750 0.750 0.750
0.500 0.500 0.500
0.250 0.250 0.250
0.000 0.000 0.000
```

For the energy relative to the elements, the calculation gives 0.235 eV/atom. The calculated total energy comes out at -7.45 eV/atom.